Entry 1:
The following is a DFT calculation (PBE) of a relaxed structure of DyHoSiGe.

a b c (Å): 3.8939 4.2721 10.6023
angles (deg): 90.00 90.00 90.00
Element x y z (fractional)
Dy: 0.0000 0.0000 0.0000
Dy: 0.0000 0.5000 0.5000
Ho: 0.5000 0.0000 0.2786
Ho: 0.5000 0.5000 0.7786
Si: 0.5000 0.0000 0.5569
Si: 0.5000 0.5000 0.0569
Ge: 0.0000 0.0000 0.7194
Ge: 0.0000 0.5000 0.2194

Results
Density of states at the Fermi level, states/eV/atom: 0.659
Energy, hartree per atom: -0.20739
Raw formation energy, meV/atom: -838
Symmetry: No. 38

Entry 2:
The following is a DFT calculation (PBE) of a relaxed structure of DyHoGeTe.

a b c (Å): 4.2136 4.2136 21.7011
angles (deg): 90.00 90.00 120.00
Element x y z (fractional)
Dy: 0.0000 0.0000 0.0000
Dy: 0.3333 0.6667 0.6667
Dy: 0.6667 0.3333 0.3333
Ho: 0.0000 0.0000 0.8099
Ho: 0.3333 0.6667 0.4766
Ho: 0.6667 0.3333 0.1432
Ge: 0.0000 0.0000 0.4067
Ge: 0.3333 0.6667 0.0734
Ge: 0.6667 0.3333 0.7400
Te: 0.0000 0.0000 0.2366
Te: 0.3333 0.6667 0.9033
Te: 0.6667 0.3333 0.5699

Results
Density of states at the Fermi level, states/eV/atom: 0.165
Energy, hartree per atom: -0.19648
Raw formation energy, meV/atom: -1112
Symmetry: No. 160

Entry 3:
The following is a DFT calculation (PBE) of a relaxed structure of DyHoTlGe.

a b c (Å): 7.3664 7.3664 7.3664
angles (deg): 90.00 90.00 90.00
Element x y z (fractional)
Dy: 0.0000 0.0000 0.0000
Dy: 0.0000 0.5000 0.5000
Dy: 0.5000 0.0000 0.5000
Dy: 0.5000 0.5000 0.0000
Ho: 0.0000 0.0000 0.5000
Ho: 0.0000 0.5000 0.0000
Ho: 0.5000 0.0000 0.0000
Ho: 0.5000 0.5000 0.5000
Tl: 0.2500 0.2500 0.7500
Tl: 0.2500 0.7500 0.2500
Tl: 0.7500 0.2500 0.2500
Tl: 0.7500 0.7500 0.7500
Ge: 0.2500 0.2500 0.2500
Ge: 0.2500 0.7500 0.7500
Ge: 0.7500 0.2500 0.7500
Ge: 0.7500 0.7500 0.2500

Results
Density of states at the Fermi level, states/eV/atom: 0.834
Formation enthalpy at 0 K, meV per atom: -419
Energy, hartree per atom: -0.16389
Symmetry: No. 216